[1]
{
  "formula": "Pr6Ge2Pb",
  "functional": "PBE-GGA",
  "state": "optimized geometry",
  "lattice_angstrom": [[-4.958, 5.135, 5.438], [4.958, -5.135, 5.438], [4.958, 5.135, -5.438]],
  "species": ["Pr", "Pr", "Pr", "Pr", "Pr", "Pr", "Pr", "Pr", "Pr", "Pr", "Pr", "Pr", "Ge", "Ge", "Ge", "Ge", "Pb", "Pb"],
  "fractional_positions": [[0.036, 0.242, 0.794], [0.188, 0.278, 0.466], [0.188, 0.722, 0.910], [0.321, 0.028, 0.706], [0.321, 0.615, 0.294], [0.448, 0.242, 0.206], [0.552, 0.758, 0.794], [0.679, 0.385, 0.706], [0.679, 0.972, 0.294], [0.812, 0.278, 0.090], [0.812, 0.722, 0.534], [0.964, 0.758, 0.206], [0.117, 0.617, 0.500], [0.369, 0.000, 0.369], [0.631, 0.000, 0.631], [0.883, 0.383, 0.500], [0.000, 0.000, 0.000], [0.500, 0.500, 0.000]],
  "e_form_ev_per_atom": -0.543
}

***

[2]
{
  "formula": "PrGe4Pb",
  "functional": "PBE-GGA",
  "state": "optimized geometry",
  "lattice_angstrom": [[0.000, 4.079, 4.079], [4.079, 0.000, 4.079], [4.079, 4.079, 0.000]],
  "species": ["Pr", "Ge", "Ge", "Ge", "Ge", "Pb"],
  "fractional_positions": [[0.000, 0.000, 0.000], [0.129, 0.624, 0.624], [0.624, 0.129, 0.624], [0.624, 0.624, 0.129], [0.624, 0.624, 0.624], [0.250, 0.250, 0.250]],
  "e_form_ev_per_atom": -0.163
}

***

[3]
{
  "formula": "PrGePb",
  "functional": "PBE-GGA",
  "state": "optimized geometry",
  "lattice_angstrom": [[2.193, -9.400, 0.000], [2.193, 9.400, 0.000], [0.000, 0.000, 4.015]],
  "species": ["Pr", "Pr", "Ge", "Ge", "Pb", "Pb"],
  "fractional_positions": [[0.091, 0.909, 0.750], [0.909, 0.091, 0.250], [0.456, 0.544, 0.750], [0.544, 0.456, 0.250], [0.289, 0.711, 0.750], [0.711, 0.289, 0.250]],
  "de_polymorph_mev_per_atom": 0,
  "e_form_ev_per_atom": -0.550
}

***

[4]
{
  "formula": "Pr5GePb2",
  "functional": "PBE-GGA",
  "state": "optimized geometry",
  "lattice_angstrom": [[8.547, 0.000, 0.000], [0.000, 12.873, 0.000], [0.000, 0.000, 4.728]],
  "species": ["Pr", "Pr", "Pr", "Pr", "Pr", "Pr", "Pr", "Pr", "Pr", "Pr", "Ge", "Ge", "Pb", "Pb", "Pb", "Pb"],
  "fractional_positions": [[0.000, 0.000, 0.000], [0.145, 0.290, 0.000], [0.196, 0.568, 0.500], [0.304, 0.068, 0.500], [0.355, 0.790, 0.000], [0.500, 0.500, 0.000], [0.645, 0.210, 0.000], [0.696, 0.932, 0.500], [0.804, 0.432, 0.500], [0.855, 0.710, 0.000], [0.000, 0.500, 0.000], [0.500, 0.000, 0.000], [0.080, 0.827, 0.500], [0.420, 0.327, 0.500], [0.580, 0.673, 0.500], [0.920, 0.173, 0.500]],
  "e_form_ev_per_atom": -0.588
}